An optimized crystal structure of NdMg3Ga3, computed with GGA-PBE.

Calculated values
Total energy = -2.9296 eV per atom
Energy above the most stable polymorph in this dataset = 0 meV per atom
V = 154 Å³/f.u.

Lattice parameters (Å, degrees): 7.905 4.432 9.558 90.00 112.71 90.00
Element x y z (fractional)
Nd (0.172, 0.250, 0.293)
Nd (0.828, 0.750, 0.707)
Mg (0.256, 0.750, 0.747)
Mg (0.292, 0.250, 0.970)
Mg (0.479, 0.750, 0.251)
Mg (0.521, 0.250, 0.749)
Mg (0.708, 0.750, 0.030)
Mg (0.744, 0.250, 0.253)
Ga (0.003, 0.250, 0.581)
Ga (0.112, 0.750, 0.040)
Ga (0.407, 0.750, 0.524)
Ga (0.593, 0.250, 0.476)
Ga (0.888, 0.250, 0.960)
Ga (0.997, 0.750, 0.419)

***

An optimized crystal structure of Rb2SrSb2O7, computed with GGA-PBE.

Calculated values
Total energy = -5.6634 eV per atom
Raw formation energy = -1.78 eV/atom
V = 187 Å³/f.u.

Lattice parameters (Å, degrees): 11.649 11.649 11.649 159.90 159.90 28.58
Element x y z (fractional)
Rb (0.192, 0.192, 0.000)
Rb (0.808, 0.808, 0.000)
Sr (0.000, 0.000, 0.000)
Sb (0.409, 0.409, 0.000)
Sb (0.591, 0.591, 0.000)
O (0.079, 0.579, 0.500)
O (0.324, 0.324, 0.000)
O (0.421, 0.921, 0.500)
O (0.500, 0.500, 0.000)
O (0.579, 0.079, 0.500)
O (0.676, 0.676, 0.000)
O (0.921, 0.421, 0.500)

***

An optimized crystal structure of MgHg2Bi, computed with GGA-PBE.

Calculated values
Total energy = -1.5308 eV per atom
V = 102 Å³/f.u.

Lattice parameters (Å, degrees): 4.589 4.589 4.822 90.00 90.00 90.00
Element x y z (fractional)
Mg (0.000, 0.000, 0.000)
Hg (0.000, 0.500, 0.500)
Hg (0.500, 0.000, 0.500)
Bi (0.500, 0.500, 0.000)

***

An optimized crystal structure of BeV2InTc, computed with GGA-PBE.

Calculated values
Total energy = -5.7407 eV per atom
V = 107 Å³/f.u.

Lattice parameters (Å, degrees): 4.581 4.581 5.121 90.00 90.00 90.00
Element x y z (fractional)
Be (0.000, 0.000, 0.000)
V (0.000, 0.500, 0.500)
V (0.500, 0.000, 0.500)
In (0.500, 0.500, 0.000)
Tc (0.500, 0.500, 0.500)

***

An optimized crystal structure of AgIrAu, computed with GGA-PBE.

Calculated values
Total energy = -4.7191 eV per atom
Energy above the most stable polymorph in this dataset = 0 meV per atom
V = 50 Å³/f.u.

Lattice parameters (Å, degrees): 2.826 2.826 7.194 90.00 90.00 120.00
Element x y z (fractional)
Ag (0.000, 0.000, 0.000)
Ir (0.333, 0.667, 0.672)
Au (0.667, 0.333, 0.341)

***

An optimized crystal structure of HoEr2Ga2, computed with GGA-PBE.

Calculated values
Total energy = -4.4669 eV per atom
Energy above the most stable polymorph in this dataset = 0 meV per atom
V = 124 Å³/f.u.

Lattice parameters (Å, degrees): 7.619 7.619 4.258 90.00 90.00 90.00
Element x y z (fractional)
Ho (0.000, 0.000, 0.000)
Ho (0.500, 0.500, 0.000)
Er (0.174, 0.326, 0.500)
Er (0.326, 0.826, 0.500)
Er (0.674, 0.174, 0.500)
Er (0.826, 0.674, 0.500)
Ga (0.120, 0.620, 0.000)
Ga (0.380, 0.120, 0.000)
Ga (0.620, 0.880, 0.000)
Ga (0.880, 0.380, 0.000)

***

An optimized crystal structure of Ac2CeP2Se2, computed with GGA-PBE.

Calculated values
Total energy = -6.0095 eV per atom
Raw formation energy = -1.45 eV/atom
V = 218 Å³/f.u.

Lattice parameters (Å, degrees): 5.264 5.264 15.763 90.00 90.00 90.00
Element x y z (fractional)
Ac (0.000, 0.000, 0.126)
Ac (0.000, 0.000, 0.874)
Ac (0.500, 0.500, 0.374)
Ac (0.500, 0.500, 0.626)
Ce (0.000, 0.000, 0.500)
Ce (0.500, 0.500, 0.000)
P (0.000, 0.500, 0.000)
P (0.000, 0.500, 0.500)
P (0.500, 0.000, 0.000)
P (0.500, 0.000, 0.500)
Se (0.000, 0.000, 0.317)
Se (0.000, 0.000, 0.683)
Se (0.500, 0.500, 0.183)
Se (0.500, 0.500, 0.817)

***

An optimized crystal structure of SiMo4Ir, computed with GGA-PBE.

Calculated values
Total energy = -9.1386 eV per atom
Raw formation energy = 0.46 eV/atom
V = 97 Å³/f.u.

Lattice parameters (Å, degrees): 5.149 5.149 5.149 60.00 60.00 60.00
Element x y z (fractional)
Si (0.000, 0.000, 0.000)
Mo (0.122, 0.626, 0.626)
Mo (0.626, 0.122, 0.626)
Mo (0.626, 0.626, 0.122)
Mo (0.626, 0.626, 0.626)
Ir (0.250, 0.250, 0.250)

***

> Which formula does entry 5 have?

AgIrAu

***

Repeat the sixth record exactly.
An optimized crystal structure of HoEr2Ga2, computed with GGA-PBE.

Calculated values
Total energy = -4.4669 eV per atom
Energy above the most stable polymorph in this dataset = 0 meV per atom
V = 124 Å³/f.u.

Lattice parameters (Å, degrees): 7.619 7.619 4.258 90.00 90.00 90.00
Element x y z (fractional)
Ho (0.000, 0.000, 0.000)
Ho (0.500, 0.500, 0.000)
Er (0.174, 0.326, 0.500)
Er (0.326, 0.826, 0.500)
Er (0.674, 0.174, 0.500)
Er (0.826, 0.674, 0.500)
Ga (0.120, 0.620, 0.000)
Ga (0.380, 0.120, 0.000)
Ga (0.620, 0.880, 0.000)
Ga (0.880, 0.380, 0.000)